Compound: Mg4Pb3Au
Source: the Alexandria database
Functional: PBE
Structure: optimized geometry

abc: 3.4754 3.4754 15.9723
angles: 90.00 90.00 90.00
Space group P4/mmm (No. 123)
Unique sites:
Mg1 0.0000 0.0000 0.0934 [2 per cell]
Mg2 0.0000 0.0000 0.3658 [2 per cell]
Pb1 0.5000 0.5000 0.2320 [2 per cell]
Pb2 0.5000 0.5000 0.5000 [1 per cell]
Au1 0.5000 0.5000 0.0000 [1 per cell]

Output
Magnetization ... 0.000 μB per cell
VASP energy ... -22.40 eV for the cell shown
D(E_F) ... 1.55 states/eV per cell

Compound: RbSnB2F8
Source: the Alexandria database
Functional: PBE
Structure: optimized geometry

abc: 4.8295 4.8295 29.4878
angles: 90.00 90.00 120.00
Space group R-3 (No. 148, hexagonal axes)
Unique sites:
Rb1 0.0000 0.0000 0.0000 [3 per cell]
Sn1 0.0000 0.0000 0.5000 [3 per cell]
B1 0.0000 0.0000 0.2561 [6 per cell]
F1 0.0000 0.0000 0.3048 [6 per cell]
F2 0.0129 0.2842 0.2411 [18 per cell]

Output
Magnetization ... 2.090 μB per cell
Raw formation energy ... -2.62 eV per atom
VASP energy ... -194.33 eV for the cell shown
D(E_F) ... 4.50 states/eV per cell

Compound: CoP2Pt
Source: the Alexandria database
Functional: PBE
Structure: optimized geometry

abc: 6.5731 3.3964 5.0521
angles: 90.00 92.50 90.00
Space group Cm (No. 8)
Unique sites:
Co1 0.0000 0.0000 0.0000 [2 per cell]
P1 0.1350 0.5000 0.7836 [2 per cell]
P2 0.3034 0.0000 0.1879 [2 per cell]
Pt1 0.4071 0.5000 0.4977 [2 per cell]

Output
Distance to the lowest polymorph of the same formula ... 0.00 eV per formula unit
Magnetization ... 0.000 μB per cell
VASP energy ... -51.12 eV for the cell shown
D(E_F) ... 2.09 states/eV per cell

Compound: SrCuOs2
Source: the Alexandria database
Functional: PBE
Structure: optimized geometry

abc: 2.7842 2.7842 29.5432
angles: 90.00 90.00 120.00
Space group R-3m (No. 166, hexagonal axes)
Unique sites:
Sr1 0.0000 0.0000 0.0000 [3 per cell]
Cu1 0.0000 0.0000 0.5000 [3 per cell]
Os1 0.0000 0.0000 0.2383 [6 per cell]

Output
Distance to the lowest polymorph of the same formula ... 3.17 eV per formula unit
Magnetization ... 0.005 μB per cell
VASP energy ... -73.32 eV for the cell shown
D(E_F) ... 11.75 states/eV per cell

Compound: TlRe2Os
Source: the Alexandria database
Functional: PBE
Structure: optimized geometry

abc: 2.8747 2.8747 8.0592
angles: 90.00 90.00 90.00
Space group P4mm (No. 99)
Unique sites:
Tl1 0.0000 0.0000 0.0000 [1 per cell]
Re1 0.0000 0.0000 0.4943 [1 per cell]
Re2 0.5000 0.5000 0.7175 [1 per cell]
Os1 0.5000 0.5000 0.2769 [1 per cell]

Output
Distance to the lowest polymorph of the same formula ... 0.00 eV per formula unit
Magnetization ... 0.000 μB per cell
VASP energy ... -36.15 eV for the cell shown
D(E_F) ... 4.39 states/eV per cell

Compound: K2CoSb
Source: the Alexandria database
Functional: PBE
Structure: optimized geometry

abc: 3.5380 3.5380 10.2431
angles: 90.00 90.00 90.00
Space group P4mm (No. 99)
Unique sites:
K1 0.0000 0.0000 0.0000 [1 per cell]
K2 0.5000 0.5000 0.4121 [1 per cell]
Co1 0.5000 0.5000 0.7475 [1 per cell]
Sb1 0.0000 0.0000 0.6664 [1 per cell]

Output
Magnetization ... 0.533 μB per cell
Raw formation energy ... 0.17 eV per atom
VASP energy ... -12.74 eV for the cell shown
D(E_F) ... 3.66 states/eV per cell

Compound: ScB3Ir3
Source: the Alexandria database
Functional: PBE
Structure: optimized geometry

abc: 7.4736 7.4736 3.5744
angles: 90.00 90.00 120.00
Space group P6_3/m (No. 176)
Unique sites:
Sc1 0.3333 0.6667 0.2500 [2 per cell]
B1 0.0527 0.4461 0.7500 [6 per cell]
Ir1 0.0677 0.7393 0.7500 [6 per cell]

Output
Distance to the lowest polymorph of the same formula ... 0.00 eV per formula unit
Magnetization ... 0.000 μB per cell
VASP energy ... -113.26 eV for the cell shown
D(E_F) ... 5.44 states/eV per cell

Compound: LaPS2Cl
Source: the Alexandria database
Functional: PBE
Structure: optimized geometry

abc: 5.6554 5.6554 5.4638
angles: 90.00 90.00 90.00
Space group P4/mmm (No. 123)
Unique sites:
La1 0.0000 0.0000 0.0000 [1 per cell]
P1 0.5000 0.5000 0.5000 [1 per cell]
S1 0.0000 0.5000 0.0000 [2 per cell]
Cl1 0.0000 0.0000 0.5000 [1 per cell]

Output
Distance to the lowest polymorph of the same formula ... 3.29 eV per formula unit
Magnetization ... 0.991 μB per cell
Raw formation energy ... -0.16 eV per atom
VASP energy ... -21.24 eV for the cell shown
D(E_F) ... 4.16 states/eV per cell

Compound: Nd3GeI3
Source: the Alexandria database
Functional: PBE
Structure: optimized geometry

abc: 9.1506 4.3637 12.5744
angles: 90.00 90.49 90.00
Space group P2_1/m (No. 11)
Unique sites:
Nd1 0.1011 0.2500 0.3840 [2 per cell]
Nd2 0.1180 0.2500 0.8447 [2 per cell]
Nd3 0.3267 0.7500 0.6214 [2 per cell]
Ge1 0.1181 0.2500 0.6189 [2 per cell]
I1 0.1378 0.2500 0.1194 [2 per cell]
I2 0.3712 0.7500 0.8752 [2 per cell]
I3 0.3834 0.7500 0.3658 [2 per cell]

Output
Distance to the lowest polymorph of the same formula ... 0.00 eV per formula unit
Magnetization ... 0.000 μB per cell
Raw formation energy ... -1.21 eV per atom
VASP energy ... -64.03 eV for the cell shown
D(E_F) ... 3.98 states/eV per cell

Compound: Na3Pr3UO8
Source: the Alexandria database
Functional: PBE
Structure: optimized geometry

abc: 7.2023 7.2023 17.0147
angles: 90.00 90.00 120.00
Space group R-3m (No. 166, hexagonal axes)
Unique sites:
Na1 0.0000 0.5000 0.0000 [9 per cell]
Pr1 0.0000 0.5000 0.5000 [9 per cell]
U1 0.0000 0.0000 0.5000 [3 per cell]
O1 0.0000 0.0000 0.2408 [6 per cell]
O2 0.0301 0.5150 0.2342 [18 per cell]

Output
Magnetization ... 6.058 μB per cell
Raw formation energy ... -2.68 eV per atom
VASP energy ... -328.21 eV for the cell shown
D(E_F) ... 13.46 states/eV per cell